## MgSnHgPb2 (PBE-GGA)

Data for a relaxed MgSnHgPb2 crystal.

Cell lengths 5.9719, 5.2698, 5.9719 Å; angles 90.00, 90.00, 90.00 degrees
Last column: nearest neighbours and their distance in Å.
Sites, in units of the cell vectors:
Pb 0.0000 0.0000 0.5000  2 Sn 2.99
Pb 0.5000 0.0000 0.0000  2 Sn 2.99
Mg 0.0000 0.5000 0.0000  2 Sn 2.63
Hg 0.5000 0.5000 0.5000  8 Pb 3.98, 4 Mg 4.22
Sn 0.0000 0.0000 0.0000  2 Mg 2.63

SG: P4/mmm, No. 123
total magnetic moment: 0.00 Bohr magnetons per cell
calculated volume: 37.59 A^3/atom
mass density: 6.697 g cm⁻³
energy of formation: 436 meV per atom